1.
Material: InCuReAu
Method: DFT, PBE
State: optimized geometry

theoretical density = 13.9 g cm⁻³
energy above the most stable polymorph in this dataset = 0.042 eV per atom
space-group type = F-43m
electronic total energy = -19.61 eV per formula unit

Lattice parameters (Å, degrees): 4.565 4.565 4.565 60.00 60.00 60.00
Fractional coordinates of all 4 atoms:
1 In 0.000 0.000 0.000
2 Cu 0.250 0.250 0.250
3 Re 0.500 0.500 0.500
4 Au 0.750 0.750 0.750


2.
Material: Sc3In3CuAu2
Method: DFT, PBE
State: optimized geometry

theoretical density = 8.6 g cm⁻³
space-group type = P-62m
electronic total energy = -42.75 eV per formula unit

Lattice parameters (Å, degrees): 7.651 7.651 3.558 90.00 90.00 120.00
Fractional coordinates of all 9 atoms:
1 Sc 0.000 0.395 0.000
2 Sc 0.395 0.000 0.000
3 Sc 0.605 0.605 0.000
4 In 0.000 0.739 0.500
5 In 0.261 0.261 0.500
6 In 0.739 0.000 0.500
7 Cu 0.000 0.000 0.000
8 Au 0.333 0.667 0.500
9 Au 0.667 0.333 0.500


3.
Material: Sm3In3CuAu2
Method: DFT, PBE
State: optimized geometry

theoretical density = 9.8 g cm⁻³
space-group type = P-62m
electronic total energy = -38.53 eV per formula unit

Lattice parameters (Å, degrees): 7.858 7.858 3.954 90.00 90.00 120.00
Fractional coordinates of all 9 atoms:
1 Sm 0.000 0.594 0.000
2 Sm 0.406 0.406 0.000
3 Sm 0.594 0.000 0.000
4 In 0.000 0.246 0.500
5 In 0.246 0.000 0.500
6 In 0.754 0.754 0.500
7 Cu 0.000 0.000 0.000
8 Au 0.333 0.667 0.500
9 Au 0.667 0.333 0.500


4.
Material: Sm3In3Cu2Au
Method: DFT, PBE
State: optimized geometry

theoretical density = 8.9 g cm⁻³
space-group type = P-62m
electronic total energy = -37.46 eV per formula unit

Lattice parameters (Å, degrees): 7.649 7.649 4.108 90.00 90.00 120.00
Fractional coordinates of all 9 atoms:
1 Sm 0.000 0.589 0.000
2 Sm 0.411 0.411 0.000
3 Sm 0.589 0.000 0.000
4 In 0.000 0.265 0.500
5 In 0.265 0.000 0.500
6 In 0.735 0.735 0.500
7 Cu 0.333 0.667 0.500
8 Cu 0.667 0.333 0.500
9 Au 0.000 0.000 0.000


5.
Material: TaInCuAu
Method: DFT, PBE
State: optimized geometry

theoretical density = 13.3 g cm⁻³
energy above the most stable polymorph in this dataset = 0.000 eV per atom
space-group type = F-43m
electronic total energy = -20.69 eV per formula unit

Lattice parameters (Å, degrees): 4.616 4.616 4.616 60.00 60.00 60.00
Fractional coordinates of all 4 atoms:
1 Ta 0.000 0.000 0.000
2 In 0.500 0.500 0.500
3 Cu 0.750 0.750 0.750
4 Au 0.250 0.250 0.250


6.
Material: TaInCuAu
Method: DFT, PBE
State: optimized geometry

theoretical density = 13.1 g cm⁻³
energy above the most stable polymorph in this dataset = 0.057 eV per atom
space-group type = F-43m
electronic total energy = -20.46 eV per formula unit

Lattice parameters (Å, degrees): 4.639 4.639 4.639 60.00 60.00 60.00
Fractional coordinates of all 4 atoms:
1 Ta 0.000 0.000 0.000
2 In 0.250 0.250 0.250
3 Cu 0.500 0.500 0.500
4 Au 0.750 0.750 0.750